This record from Alexandria describes a relaxed structure of Pa3Ga7Co2. The functional is GGA-PBE.

Cell lengths 13.9735, 13.9735, 3.9084 Å; angles 90.00, 90.00, 163.05 degrees
Sites, in units of the cell vectors:
Pa 0.0000 0.0000 0.0000
Pa 0.1718 0.8282 0.0000
Pa 0.8282 0.1718 0.0000
Ga 0.0857 0.9143 0.5000
Ga 0.2737 0.7263 0.5000
Ga 0.4160 0.5840 0.0000
Ga 0.5000 0.5000 0.5000
Ga 0.5840 0.4160 0.0000
Ga 0.7263 0.2737 0.5000
Ga 0.9143 0.0857 0.5000
Co 0.3574 0.6426 0.5000
Co 0.6426 0.3574 0.5000

## Properties
Crystal system: orthorhombic

This record from Alexandria describes a relaxed structure of Y2InSe. The functional is GGA-PBE.

Cell lengths 5.3007, 5.3007, 5.3007 Å; angles 60.00, 60.00, 60.00 degrees
Sites, in units of the cell vectors:
Y 0.0000 0.0000 0.0000
Y 0.2500 0.2500 0.2500
In 0.7500 0.7500 0.7500
Se 0.5000 0.5000 0.5000

## Properties
Crystal system: cubic
Formation energy without anion corrections (kJ/mol of atoms): -12

This record from Alexandria describes a relaxed structure of VMoAsRu. The functional is GGA-PBE.

Cell lengths 4.3157, 4.3157, 4.3157 Å; angles 60.00, 60.00, 60.00 degrees
Sites, in units of the cell vectors:
V 0.0000 0.0000 0.0000
Mo 0.7500 0.7500 0.7500
As 0.5000 0.5000 0.5000
Ru 0.2500 0.2500 0.2500

## Properties
Crystal system: cubic

This record from Alexandria describes a relaxed structure of La3GaPt3. The functional is GGA-PBE.

Cell lengths 6.1608, 6.1608, 15.0343 Å; angles 109.40, 109.40, 39.61 degrees
Sites, in units of the cell vectors:
La 0.0238 0.0238 0.3829
La 0.1026 0.1026 0.9236
La 0.2351 0.2351 0.2280
La 0.7649 0.7649 0.7720
La 0.8974 0.8974 0.0764
La 0.9762 0.9762 0.6171
Ga 0.2638 0.2638 0.5955
Ga 0.7362 0.7362 0.4045
Pt 0.3664 0.3664 0.4524
Pt 0.3708 0.3708 0.9244
Pt 0.4757 0.4757 0.7656
Pt 0.5243 0.5243 0.2344
Pt 0.6292 0.6292 0.0756
Pt 0.6336 0.6336 0.5476

## Properties
Crystal system: monoclinic

This record from Alexandria describes a relaxed structure of Th2Co3TcP4. The functional is GGA-PBE.

Cell lengths 4.0717, 4.0717, 9.2245 Å; angles 90.00, 90.00, 90.00 degrees
Sites, in units of the cell vectors:
Th 0.0000 0.5000 0.2410
Th 0.5000 0.0000 0.7590
Co 0.0000 0.5000 0.8930
Co 0.5000 0.0000 0.1070
Co 0.5000 0.5000 0.5000
Tc 0.0000 0.0000 0.5000
P 0.0000 0.0000 0.0000
P 0.0000 0.5000 0.6349
P 0.5000 0.0000 0.3651
P 0.5000 0.5000 0.0000

## Properties
Crystal system: tetragonal

This record from Alexandria describes a relaxed structure of Pr12Tc3O5. The functional is GGA-PBE.

Cell lengths 13.7322, 13.7322, 13.7322 Å; angles 109.47, 109.47, 109.47 degrees
Sites, in units of the cell vectors:
Pr 0.0249 0.2071 0.1205
Pr 0.0249 0.3178 0.9044
Pr 0.0865 0.7071 0.6822
Pr 0.0865 0.8795 0.4044
Pr 0.0956 0.6205 0.4135
Pr 0.0956 0.9751 0.6822
Pr 0.1205 0.0249 0.2071
Pr 0.1205 0.5956 0.9135
Pr 0.1822 0.2071 0.5865
Pr 0.1822 0.4751 0.5956
Pr 0.2071 0.1205 0.0249
Pr 0.2071 0.5865 0.1822
Pr 0.2929 0.3178 0.9135
Pr 0.2929 0.4751 0.3795
Pr 0.3178 0.9044 0.0249
Pr 0.3178 0.9135 0.2929
Pr 0.3795 0.2929 0.4751
Pr 0.3795 0.5865 0.9044
Pr 0.4044 0.0865 0.8795
Pr 0.4044 0.8178 0.5249
Pr 0.4135 0.0956 0.6205
Pr 0.4135 0.8178 0.7929
Pr 0.4751 0.3795 0.2929
Pr 0.4751 0.5956 0.1822
Pr 0.5249 0.4044 0.8178
Pr 0.5249 0.6205 0.7071
Pr 0.5865 0.1822 0.2071
Pr 0.5865 0.9044 0.3795
Pr 0.5956 0.1822 0.4751
Pr 0.5956 0.9135 0.1205
Pr 0.6205 0.4135 0.0956
Pr 0.6205 0.7071 0.5249
Pr 0.6822 0.0865 0.7071
Pr 0.6822 0.0956 0.9751
Pr 0.7071 0.5249 0.6205
Pr 0.7071 0.6822 0.0865
Pr 0.7929 0.4135 0.8178
Pr 0.7929 0.8795 0.9751
Pr 0.8178 0.5249 0.4044
Pr 0.8178 0.7929 0.4135
Pr 0.8795 0.4044 0.0865
Pr 0.8795 0.9751 0.7929
Pr 0.9044 0.0249 0.3178
Pr 0.9044 0.3795 0.5865
Pr 0.9135 0.1205 0.5956
Pr 0.9135 0.2929 0.3178
Pr 0.9751 0.6822 0.0956
Pr 0.9751 0.7929 0.8795
Tc 0.1250 0.2500 0.3750
Tc 0.1250 0.3750 0.7500
Tc 0.2500 0.3750 0.1250
Tc 0.2500 0.8750 0.6250
Tc 0.3750 0.1250 0.2500
Tc 0.3750 0.7500 0.1250
Tc 0.6250 0.2500 0.8750
Tc 0.6250 0.8750 0.7500
Tc 0.7500 0.1250 0.3750
Tc 0.7500 0.6250 0.8750
Tc 0.8750 0.6250 0.2500
Tc 0.8750 0.7500 0.6250
O 0.0000 0.0000 0.0000
O 0.0000 0.0000 0.5000
O 0.0000 0.5000 0.0000
O 0.0000 0.5000 0.5000
O 0.1250 0.7500 0.8750
O 0.1250 0.8750 0.2500
O 0.2500 0.1250 0.8750
O 0.2500 0.6250 0.3750
O 0.3750 0.2500 0.6250
O 0.3750 0.6250 0.7500
O 0.5000 0.0000 0.0000
O 0.5000 0.0000 0.5000
O 0.5000 0.5000 0.0000
O 0.5000 0.5000 0.5000
O 0.6250 0.3750 0.2500
O 0.6250 0.7500 0.3750
O 0.7500 0.3750 0.6250
O 0.7500 0.8750 0.1250
O 0.8750 0.1250 0.7500
O 0.8750 0.2500 0.1250

## Properties
Crystal system: cubic
Formation energy without anion corrections (kJ/mol of atoms): -119

This record from Alexandria describes a relaxed structure of SrGdInSn. The functional is GGA-PBE.

Cell lengths 5.5446, 5.5446, 5.5446 Å; angles 60.00, 60.00, 60.00 degrees
Sites, in units of the cell vectors:
Sr 0.0000 0.0000 0.0000
Gd 0.5000 0.5000 0.5000
In 0.7500 0.7500 0.7500
Sn 0.2500 0.2500 0.2500

## Properties
Crystal system: cubic

This record from Alexandria describes a relaxed structure of CaCeIrBr. The functional is GGA-PBE.

Cell lengths 8.1624, 8.1624, 8.1624 Å; angles 28.80, 28.80, 28.80 degrees
Sites, in units of the cell vectors:
Ca 0.0000 0.0000 0.0000
Ce 0.1993 0.1993 0.1993
Ir 0.5910 0.5910 0.5910
Br 0.7649 0.7649 0.7649

## Properties
Crystal system: trigonal
Formation energy without anion corrections (kJ/mol of atoms): -96

| no. | uncorrected energy (eV per cell) |
| --- | --- |
| 1 | -67.92 |
| 2 | -19.63 |
| 3 | -34.33 |
| 4 | -87.14 |
| 5 | -78.44 |
| 6 | -551.58 |
| 7 | -24.43 |
| 8 | -22.44 |